The following is a PBE-GGA calculation of a geometry-optimized YbGdAg2 structure, from Alexandria.

a b c (Å): 7.2998 7.2998 7.2998
angles (deg): 90.00 90.00 90.00
Last column: nearest neighbours and their distance in Å.
Space group Fm-3m (No. 225)
Asymmetric unit:
Yb 0.0000 0.0000 0.0000 x4  8 Ag 3.16
Gd 0.0000 0.0000 0.5000 x4  8 Ag 3.16
Ag 0.2500 0.2500 0.2500 x8  4 Gd 3.16, 4 Yb 3.16

Output
Energy of formation from the pure elements = -0.3633 eV/atom
ρ = 9.32 Mg/m³